A relaxed structure of CsCrSn, computed with PBE.

It has space group Pmmm (No. 47), with a = 3.530 Å, b = 4.314 Å, c = 6.739 Å, α = 90.00°, β = 90.00° and γ = 90.00°. Symmetry generates all atoms from Cs at (0.000, 0.000, 0.000), Cr at (0.000, 0.000, 0.500) and Sn at (0.500, 0.500, 0.500).

The calculation puts the density of states at the Fermi level at 1.2 states/eV per cell. Its formation energy from the elements is 0.385 eV per atom. The value obtained for the energy above the most stable polymorph in this dataset is 38 meV per atom.

A relaxed structure of CsCrSn, computed with PBE.

It has space group P-1 (No. 2), with a = 4.602 Å, b = 5.175 Å, c = 12.409 Å, α = 83.27°, β = 79.97° and γ = 64.69°. Symmetry generates all atoms from Cs at (0.069, 0.221, 0.204), Cr at (0.314, 0.986, 0.530) and Sn at (0.268, 0.558, 0.417).

The calculation puts the density of states at the Fermi level at 3.6 states/eV per cell. Its formation energy from the elements is 0.354 eV per atom. The value obtained for the energy above the most stable polymorph in this dataset is 7 meV per atom.

A relaxed structure of Cs2CrSnTe4, computed with PBE.

It has space group Fddd (No. 70, origin choice 2), with a = 7.729 Å, b = 14.629 Å, c = 26.388 Å, α = 90.00°, β = 90.00° and γ = 90.00°. Symmetry generates all atoms from Cs at (0.125, 0.125, 0.305), Cr at (0.125, 0.125, 0.125), Sn at (0.125, 0.125, 0.625) and Te at (0.090, 0.281, 0.428).

The calculation puts the density of states at the Fermi level at 7.8 states/eV per cell. The uncorrected formation energy comes out at -0.53 eV/atom.